No. 1
12
Lattice="-0.596 5.791 2.051 0.444 -1.710 -5.914 -5.583 -1.276 0.473" Properties=species:S:1:pos:R:3 comment="KNaReO3 PBE optimized geometry" sg=C2/c pbc="T T T"
Re -4.723 4.403 1.947
Re -1.012 -1.597 -5.338
O -2.690 -0.078 -0.917
O -3.045 2.883 -2.474
O -0.166 2.889 -3.381
O -1.187 -0.331 -3.993
O -5.569 -0.084 -0.010
O -4.548 3.136 0.602
Na -1.399 1.198 -2.370
Na -4.336 1.607 -1.021
K -1.717 3.492 0.066
K -4.018 -0.687 -3.457

***

No. 2
5
Lattice="3.657 0.000 0.000 -1.829 3.167 0.000 0.000 0.000 6.990" Properties=species:S:1:pos:R:3 comment="KNaZnO2 PBE optimized geometry" sg=P3m1 pbc="T T T"
Zn 0.000 2.112 2.007
O 0.000 2.112 0.213
O 0.000 0.000 3.046
K 0.000 0.000 6.165
Na 1.829 1.056 3.880

***

No. 3
20
Lattice="5.807 0.000 0.008 0.000 9.592 0.000 -1.297 0.000 5.401" Properties=species:S:1:pos:R:3 comment="KNaZnO2 PBE optimized geometry" sg=P2_1/c pbc="T T T"
K 1.450 8.412 0.004
K 0.802 5.975 2.704
K 3.059 1.179 5.405
K 3.708 3.617 2.704
Zn 0.152 2.301 5.381
Zn 4.358 7.291 0.028
Zn 0.800 2.495 2.681
Zn 3.709 7.097 2.728
Na 3.053 4.584 5.399
Na 1.456 5.008 0.010
Na 0.808 9.380 2.710
Na 3.702 0.212 2.699
O 5.037 8.232 1.631
O 1.475 3.445 4.285
O 2.123 1.351 1.585
O 3.035 6.147 1.124
O 0.121 3.436 1.078
O 4.388 6.156 4.331
O -0.527 1.360 3.778
O 2.386 8.241 3.824

***

No. 4
12
Lattice="2.866 -4.965 0.000 2.866 4.965 0.000 -1.903 0.000 6.103" Properties=species:S:1:pos:R:3 comment="K3NaZr2O6 PBE optimized geometry" sg=C2/m pbc="T T T"
O 3.615 0.000 1.137
O 1.070 -1.850 1.163
O 2.758 -1.850 4.939
O 0.213 0.000 4.966
O 2.758 1.850 4.939
O 1.070 1.850 1.163
Zr 2.866 -1.659 0.000
Zr 2.866 1.659 0.000
K 1.914 3.417 3.051
K 1.914 0.000 3.051
K 1.914 -3.417 3.051
Na 0.000 0.000 0.000

***

No. 5
12
Lattice="-0.281 7.274 -0.534 -2.545 -3.331 5.975 8.358 -0.808 1.591" Properties=species:S:1:pos:R:3 comment="K3NaTe6Os2 PBE optimized geometry" sg=C2/m pbc="T T T"
Te 5.939 0.623 3.081
Te -0.406 2.512 3.951
Te 5.178 4.343 4.064
Te 0.355 -1.208 2.968
Te 4.291 0.189 6.613
Te 1.242 2.946 0.419
K 3.558 5.277 1.239
K 2.766 1.568 3.516
K 1.975 -2.142 5.793
Na 0.000 0.000 0.000
Os -1.791 0.199 3.809
Os -1.034 3.744 1.633

***

No. 6
8
Lattice="5.662 0.000 0.000 0.000 5.612 0.000 -1.433 0.000 5.574" Properties=species:S:1:pos:R:3 comment="KNa3P2Pd2 PBE optimized geometry" sg=Pm pbc="T T T"
P 3.187 2.806 4.011
P 1.100 0.000 1.479
Na 2.765 2.806 1.013
Na 4.002 0.000 2.617
Na 0.235 2.806 2.892
Pd 5.619 1.441 0.075
Pd 5.619 4.171 0.075
K 1.482 0.000 4.559

***

Number 1: electronic total energy -6.297 eV/atom. Number 2: electronic total energy -3.661 eV/atom. Number 3: electronic total energy -4.071 eV/atom. Number 4: electronic total energy -6.742 eV/atom. Number 5: electronic total energy -4.174 eV/atom. Number 6: electronic total energy -3.666 eV/atom.